Density functional theory data (PBE-GGA) for a geometry-optimized MgAgOs2 structure.

Geometry as CIF:
```
data_MgAgOs2
_cell_length_a 3.7475
_cell_length_b 3.7475
_cell_length_c 4.4677
_cell_angle_alpha 90.00
_cell_angle_beta 90.00
_cell_angle_gamma 90.00
_symmetry_space_group_name_H-M 'P 4/m m m'
_symmetry_Int_Tables_number 123
_symmetry_space_group_name_Hall '-P 4 2'
loop_
_atom_site_label
_atom_site_fract_x
_atom_site_fract_y
_atom_site_fract_z
Mg1 0.0000 0.0000 0.0000
Ag1 0.5000 0.5000 0.0000
Os1 0.0000 0.5000 0.5000
```

Calculated values
Density: 13.57 Mg/m³
Total magnetization: 0.00 μB/f.u.
Crystal system: tetragonal
Formation energy: 50 kJ/mol of atoms
Volume: 62.7 Å³/cell
DOS at the Fermi energy: 2.8 states/eV/cell

Density functional theory data (PBE-GGA) for a geometry-optimized MgAgOs2 structure.

Geometry as CIF:
```
data_MgAgOs2
_cell_length_a 2.8626
_cell_length_b 4.6079
_cell_length_c 9.5320
_cell_angle_alpha 90.00
_cell_angle_beta 90.00
_cell_angle_gamma 90.00
_symmetry_space_group_name_H-M 'C m m m'
_symmetry_Int_Tables_number 65
_symmetry_space_group_name_Hall '-C 2 2'
loop_
_atom_site_label
_atom_site_fract_x
_atom_site_fract_y
_atom_site_fract_z
Mg1 0.0000 0.0000 0.0000
Ag1 0.0000 0.0000 0.5000
Os1 0.0000 0.5000 0.2395
```

Calculated values
Density: 13.54 Mg/m³
Total magnetization: 0.00 μB/f.u.
Crystal system: orthorhombic
Formation energy: 50 kJ/mol of atoms
Volume: 125.7 Å³/cell
DOS at the Fermi energy: 6.2 states/eV/cell

Density functional theory data (PBE-GGA) for a geometry-optimized MgAgOs2 structure.

Geometry as CIF:
```
data_MgAgOs2
_cell_length_a 2.8514
_cell_length_b 2.8514
_cell_length_c 7.8762
_cell_angle_alpha 90.00
_cell_angle_beta 90.00
_cell_angle_gamma 90.00
_symmetry_space_group_name_H-M 'P 4 m m'
_symmetry_Int_Tables_number 99
_symmetry_space_group_name_Hall 'P 4 -2'
loop_
_atom_site_label
_atom_site_fract_x
_atom_site_fract_y
_atom_site_fract_z
Mg1 0.0000 0.0000 0.0000
Ag1 0.5000 0.5000 0.7301
Os1 0.0000 0.0000 0.4599
Os2 0.5000 0.5000 0.2537
```

Calculated values
Density: 13.29 Mg/m³
Total magnetization: 0.00 μB/f.u.
Crystal system: tetragonal
Formation energy: 15 kJ/mol of atoms
Volume: 64.0 Å³/cell
DOS at the Fermi energy: 3.2 states/eV/cell

Density functional theory data (PBE-GGA) for a geometry-optimized MgAgOs2 structure.

Geometry as CIF:
```
data_MgAgOs2
_cell_length_a 2.8845
_cell_length_b 4.7340
_cell_length_c 9.3754
_cell_angle_alpha 90.00
_cell_angle_beta 90.00
_cell_angle_gamma 90.00
_symmetry_space_group_name_H-M 'I m m 2'
_symmetry_Int_Tables_number 44
_symmetry_space_group_name_Hall 'I 2 -2'
loop_
_atom_site_label
_atom_site_fract_x
_atom_site_fract_y
_atom_site_fract_z
Mg1 0.0000 0.0000 0.0000
Ag1 0.0000 0.5000 0.2397
Os1 0.0000 0.0000 0.4784
Os2 0.0000 0.5000 0.7572
```

Calculated values
Density: 13.30 Mg/m³
Total magnetization: 0.00 μB/f.u.
Crystal system: orthorhombic
Formation energy: 50 kJ/mol of atoms
Volume: 128.0 Å³/cell
DOS at the Fermi energy: 5.2 states/eV/cell

Density functional theory data (PBE-GGA) for a geometry-optimized MgAgOs2 structure.

Geometry as CIF:
```
data_MgAgOs2
_cell_length_a 4.2034
_cell_length_b 4.2034
_cell_length_c 6.9892
_cell_angle_alpha 90.00
_cell_angle_beta 90.00
_cell_angle_gamma 90.00
_symmetry_space_group_name_H-M 'I -4 m 2'
_symmetry_Int_Tables_number 119
_symmetry_space_group_name_Hall 'I -4 -2'
loop_
_atom_site_label
_atom_site_fract_x
_atom_site_fract_y
_atom_site_fract_z
Mg1 0.0000 0.0000 0.0000
Ag1 0.0000 0.5000 0.2500
Os1 0.0000 0.0000 0.5000
Os2 0.0000 0.5000 0.7500
```

Calculated values
Density: 13.79 Mg/m³
Total magnetization: 0.00 μB/f.u.
Crystal system: tetragonal
Formation energy: 43 kJ/mol of atoms
Volume: 123.5 Å³/cell
DOS at the Fermi energy: 4.8 states/eV/cell

Density functional theory data (PBE-GGA) for a geometry-optimized MgAgOs2 structure.

Geometry as CIF:
```
data_MgAgOs2
_cell_length_a 2.6666
_cell_length_b 2.6666
_cell_length_c 8.8669
_cell_angle_alpha 90.00
_cell_angle_beta 90.00
_cell_angle_gamma 90.00
_symmetry_space_group_name_H-M 'P 4/m m m'
_symmetry_Int_Tables_number 123
_symmetry_space_group_name_Hall '-P 4 2'
loop_
_atom_site_label
_atom_site_fract_x
_atom_site_fract_y
_atom_site_fract_z
Mg1 0.0000 0.0000 0.0000
Ag1 0.0000 0.0000 0.5000
Os1 0.5000 0.5000 0.2437
```

Calculated values
Density: 13.50 Mg/m³
Total magnetization: 0.00 μB/f.u.
Crystal system: tetragonal
Formation energy: 61 kJ/mol of atoms
Volume: 63.1 Å³/cell
DOS at the Fermi energy: 5.3 states/eV/cell

Density functional theory data (PBE-GGA) for a geometry-optimized MgAgOs2 structure.

Geometry as CIF:
```
data_MgAgOs2
_cell_length_a 3.3490
_cell_length_b 3.3490
_cell_length_c 5.6703
_cell_angle_alpha 90.00
_cell_angle_beta 90.00
_cell_angle_gamma 90.00
_symmetry_space_group_name_H-M 'P 4/m m m'
_symmetry_Int_Tables_number 123
_symmetry_space_group_name_Hall '-P 4 2'
loop_
_atom_site_label
_atom_site_fract_x
_atom_site_fract_y
_atom_site_fract_z
Mg1 0.0000 0.0000 0.0000
Ag1 0.0000 0.0000 0.5000
Os1 0.5000 0.5000 0.2178
```

Calculated values
Density: 13.39 Mg/m³
Total magnetization: 0.00 μB/f.u.
Crystal system: tetragonal
Formation energy: 82 kJ/mol of atoms
Volume: 63.6 Å³/cell
DOS at the Fermi energy: 4.6 states/eV/cell

Density functional theory data (PBE-GGA) for a geometry-optimized MgAgOs2 structure.

Geometry as CIF:
```
data_MgAgOs2
_cell_length_a 5.2077
_cell_length_b 8.7966
_cell_length_c 2.7523
_cell_angle_alpha 90.00
_cell_angle_beta 90.00
_cell_angle_gamma 90.00
_symmetry_space_group_name_H-M 'C m m m'
_symmetry_Int_Tables_number 65
_symmetry_space_group_name_Hall '-C 2 2'
loop_
_atom_site_label
_atom_site_fract_x
_atom_site_fract_y
_atom_site_fract_z
Mg1 0.0000 0.0000 0.0000
Ag1 0.0000 0.5000 0.0000
Os1 0.2500 0.2500 0.5000
```

Calculated values
Density: 13.50 Mg/m³
Total magnetization: 0.00 μB/f.u.
Crystal system: orthorhombic
Formation energy: 57 kJ/mol of atoms
Volume: 126.1 Å³/cell
DOS at the Fermi energy: 8.1 states/eV/cell

Density functional theory data (PBE-GGA) for a geometry-optimized MgAgOs2 structure.

Geometry as CIF:
```
data_MgAgOs2
_cell_length_a 7.5565
_cell_length_b 7.5565
_cell_length_c 4.9930
_cell_angle_alpha 90.00
_cell_angle_beta 90.00
_cell_angle_gamma 90.00
_symmetry_space_group_name_H-M 'I -4 2 d'
_symmetry_Int_Tables_number 122
_symmetry_space_group_name_Hall 'I -4 2bw'
loop_
_atom_site_label
_atom_site_fract_x
_atom_site_fract_y
_atom_site_fract_z
Mg1 0.0000 0.0000 0.0000
Ag1 0.0000 0.0000 0.5000
Os1 0.2323 0.2500 0.6250
```

Calculated values
Density: 11.94 Mg/m³
Total magnetization: 1.23 μB/f.u.
Crystal system: tetragonal
Formation energy: 111 kJ/mol of atoms
Volume: 285.1 Å³/cell
DOS at the Fermi energy: 14.0 states/eV/cell

Density functional theory data (PBE-GGA) for a geometry-optimized MgAgOs3 structure.

Geometry as CIF:
```
data_MgAgOs3
_cell_length_a 4.4918
_cell_length_b 4.4918
_cell_length_c 4.4918
_cell_angle_alpha 90.00
_cell_angle_beta 90.00
_cell_angle_gamma 90.00
_symmetry_space_group_name_H-M 'P m -3 m'
_symmetry_Int_Tables_number 221
_symmetry_space_group_name_Hall '-P 4 2 3'
loop_
_atom_site_label
_atom_site_fract_x
_atom_site_fract_y
_atom_site_fract_z
Mg1 0.0000 0.0000 0.0000
Ag1 0.5000 0.5000 0.5000
Os1 0.0000 0.0000 0.5000
```

Calculated values
Density: 12.88 Mg/m³
Total magnetization: 1.89 μB/f.u.
Offset from the most stable computed form: 0 meV/atom
Crystal system: cubic
Formation energy: 236 kJ/mol of atoms
Volume: 90.6 Å³/cell
DOS at the Fermi energy: 6.2 states/eV/cell

Density functional theory data (PBE-GGA) for a geometry-optimized MgAgOs2 structure.

Geometry as CIF:
```
data_MgAgOs2
_cell_length_a 2.9264
_cell_length_b 4.4866
_cell_length_c 4.7624
_cell_angle_alpha 90.00
_cell_angle_beta 90.00
_cell_angle_gamma 90.00
_symmetry_space_group_name_H-M 'P m m m'
_symmetry_Int_Tables_number 47
_symmetry_space_group_name_Hall '-P 2 2'
loop_
_atom_site_label
_atom_site_fract_x
_atom_site_fract_y
_atom_site_fract_z
Mg1 0.0000 0.0000 0.0000
Ag1 0.5000 0.5000 0.0000
Os1 0.0000 0.5000 0.5000
Os2 0.5000 0.0000 0.5000
```

Calculated values
Density: 13.61 Mg/m³
Total magnetization: 0.00 μB/f.u.
Crystal system: orthorhombic
Formation energy: 42 kJ/mol of atoms
Volume: 62.5 Å³/cell
DOS at the Fermi energy: 3.5 states/eV/cell

Density functional theory data (PBE-GGA) for a geometry-optimized MgAg4Os structure.

Geometry as CIF:
```
data_MgAg4Os
_cell_length_a 7.5715
_cell_length_b 7.5715
_cell_length_c 7.5715
_cell_angle_alpha 90.00
_cell_angle_beta 90.00
_cell_angle_gamma 90.00
_symmetry_space_group_name_H-M 'F -4 3 m'
_symmetry_Int_Tables_number 216
_symmetry_space_group_name_Hall 'F -4 2 3'
loop_
_atom_site_label
_atom_site_fract_x
_atom_site_fract_y
_atom_site_fract_z
Mg1 0.0000 0.0000 0.0000
Ag1 0.1248 0.1248 0.3752
Os1 0.2500 0.2500 0.7500
```

Calculated values
Density: 9.89 Mg/m³
Total magnetization: 0.00 μB/f.u.
Crystal system: cubic
Formation energy: 56 kJ/mol of atoms
Volume: 434.1 Å³/cell
DOS at the Fermi energy: 18.2 states/eV/cell

Density functional theory data (PBE-GGA) for a geometry-optimized MgAgOs2 structure.

Geometry as CIF:
```
data_MgAgOs2
_cell_length_a 2.8337
_cell_length_b 3.8206
_cell_length_c 5.8750
_cell_angle_alpha 90.00
_cell_angle_beta 90.00
_cell_angle_gamma 90.00
_symmetry_space_group_name_H-M 'P m m 2'
_symmetry_Int_Tables_number 25
_symmetry_space_group_name_Hall 'P 2 -2'
loop_
_atom_site_label
_atom_site_fract_x
_atom_site_fract_y
_atom_site_fract_z
Mg1 0.0000 0.0000 0.0000
Ag1 0.5000 0.5000 0.2322
Os1 0.0000 0.0000 0.5326
Os2 0.5000 0.5000 0.7124
```

Calculated values
Density: 13.38 Mg/m³
Total magnetization: 0.00 μB/f.u.
Crystal system: orthorhombic
Formation energy: 21 kJ/mol of atoms
Volume: 63.6 Å³/cell
DOS at the Fermi energy: 1.6 states/eV/cell

Density functional theory data (PBE-GGA) for a geometry-optimized RbMg2AgOs structure.

Geometry as CIF:
```
data_RbMg2AgOs
_cell_length_a 5.1731
_cell_length_b 5.1731
_cell_length_c 5.9516
_cell_angle_alpha 90.00
_cell_angle_beta 90.00
_cell_angle_gamma 90.00
_symmetry_space_group_name_H-M 'P 4/m m m'
_symmetry_Int_Tables_number 123
_symmetry_space_group_name_Hall '-P 4 2'
loop_
_atom_site_label
_atom_site_fract_x
_atom_site_fract_y
_atom_site_fract_z
Rb1 0.0000 0.0000 0.0000
Mg1 0.0000 0.5000 0.5000
Ag1 0.0000 0.0000 0.5000
Os1 0.5000 0.5000 0.0000
```

Calculated values
Density: 4.51 Mg/m³
Total magnetization: 2.61 μB/f.u.
Crystal system: tetragonal
Formation energy: 133 kJ/mol of atoms
Volume: 159.3 Å³/cell
DOS at the Fermi energy: 4.9 states/eV/cell

Density functional theory data (PBE-GGA) for a geometry-optimized MgScAgOs structure.

Geometry as CIF:
```
data_MgScAgOs
_cell_length_a 6.5224
_cell_length_b 6.5224
_cell_length_c 6.5224
_cell_angle_alpha 90.00
_cell_angle_beta 90.00
_cell_angle_gamma 90.00
_symmetry_space_group_name_H-M 'F -4 3 m'
_symmetry_Int_Tables_number 216
_symmetry_space_group_name_Hall 'F -4 2 3'
loop_
_atom_site_label
_atom_site_fract_x
_atom_site_fract_y
_atom_site_fract_z
Mg1 0.0000 0.0000 0.0000
Sc1 0.0000 0.0000 0.5000
Ag1 0.2500 0.2500 0.7500
Os1 0.2500 0.2500 0.2500
```

Calculated values
Density: 8.79 Mg/m³
Total magnetization: 0.00 μB/f.u.
Crystal system: cubic
Formation energy: -11 kJ/mol of atoms
Volume: 277.5 Å³/cell
DOS at the Fermi energy: 5.1 states/eV/cell

Density functional theory data (PBE-GGA) for a geometry-optimized SrMgAgOs2 structure.

Geometry as CIF:
```
data_SrMgAgOs2
_cell_length_a 4.6926
_cell_length_b 4.6926
_cell_length_c 5.3872
_cell_angle_alpha 90.00
_cell_angle_beta 90.00
_cell_angle_gamma 90.00
_symmetry_space_group_name_H-M 'P 4/m m m'
_symmetry_Int_Tables_number 123
_symmetry_space_group_name_Hall '-P 4 2'
loop_
_atom_site_label
_atom_site_fract_x
_atom_site_fract_y
_atom_site_fract_z
Sr1 0.0000 0.0000 0.0000
Mg1 0.0000 0.0000 0.5000
Ag1 0.5000 0.5000 0.0000
Os1 0.0000 0.5000 0.5000
```

Calculated values
Density: 8.40 Mg/m³
Total magnetization: 2.14 μB/f.u.
Crystal system: tetragonal
Formation energy: 168 kJ/mol of atoms
Volume: 118.6 Å³/cell
DOS at the Fermi energy: 4.8 states/eV/cell

Density functional theory data (PBE-GGA) for a geometry-optimized ThMgAgOs structure.

Geometry as CIF:
```
data_ThMgAgOs
_cell_length_a 6.9456
_cell_length_b 6.9456
_cell_length_c 6.9456
_cell_angle_alpha 90.00
_cell_angle_beta 90.00
_cell_angle_gamma 90.00
_symmetry_space_group_name_H-M 'F -4 3 m'
_symmetry_Int_Tables_number 216
_symmetry_space_group_name_Hall 'F -4 2 3'
loop_
_atom_site_label
_atom_site_fract_x
_atom_site_fract_y
_atom_site_fract_z
Th1 0.0000 0.0000 0.0000
Mg1 0.0000 0.0000 0.5000
Ag1 0.2500 0.2500 0.7500
Os1 0.2500 0.2500 0.2500
```

Calculated values
Density: 10.99 Mg/m³
Total magnetization: 0.00 μB/f.u.
Crystal system: cubic
Formation energy: 0 kJ/mol of atoms
Volume: 335.1 Å³/cell
DOS at the Fermi energy: 13.2 states/eV/cell

Density functional theory data (PBE-GGA) for a geometry-optimized Mg2AgP structure.

Geometry as CIF:
```
data_Mg2AgP
_cell_length_a 5.9536
_cell_length_b 5.9536
_cell_length_c 12.6447
_cell_angle_alpha 90.00
_cell_angle_beta 90.00
_cell_angle_gamma 90.00
_symmetry_space_group_name_H-M 'I -4 2 d'
_symmetry_Int_Tables_number 122
_symmetry_space_group_name_Hall 'I -4 2bw'
loop_
_atom_site_label
_atom_site_fract_x
_atom_site_fract_y
_atom_site_fract_z
Mg1 0.1944 0.2500 0.1250
Ag1 0.0000 0.0000 0.5000
P1 0.0000 0.0000 0.0000
```

Calculated values
Density: 2.78 Mg/m³
Total magnetization: 0.00 μB/f.u.
Crystal system: tetragonal
Formation energy: 1 kJ/mol of atoms
Volume: 448.2 Å³/cell
DOS at the Fermi energy: 0.0 states/eV/cell

Density functional theory data (PBE-GGA) for a geometry-optimized Mg2AgP structure.

Geometry as CIF:
```
data_Mg2AgP
_cell_length_a 3.2890
_cell_length_b 3.5041
_cell_length_c 6.2007
_cell_angle_alpha 90.00
_cell_angle_beta 90.55
_cell_angle_gamma 90.00
_symmetry_space_group_name_H-M 'P 1 2/m 1'
_symmetry_Int_Tables_number 10
_symmetry_space_group_name_Hall '-P 2y'
loop_
_atom_site_label
_atom_site_fract_x
_atom_site_fract_y
_atom_site_fract_z
Mg1 0.0033 0.0000 0.2664
Ag1 0.5000 0.5000 0.0000
P1 0.5000 0.5000 0.5000
```

Calculated values
Density: 4.36 Mg/m³
Total magnetization: 0.00 μB/f.u.
Crystal system: monoclinic
Formation energy: -21 kJ/mol of atoms
Volume: 71.5 Å³/cell
DOS at the Fermi energy: 1.5 states/eV/cell

Density functional theory data (PBE-GGA) for a geometry-optimized MgAg2P structure.

Geometry as CIF:
```
data_MgAg2P
_cell_length_a 3.4801
_cell_length_b 3.4801
_cell_length_c 5.8177
_cell_angle_alpha 90.00
_cell_angle_beta 90.00
_cell_angle_gamma 90.00
_symmetry_space_group_name_H-M 'P 4 m m'
_symmetry_Int_Tables_number 99
_symmetry_space_group_name_Hall 'P 4 -2'
loop_
_atom_site_label
_atom_site_fract_x
_atom_site_fract_y
_atom_site_fract_z
Mg1 0.0000 0.0000 0.0000
Ag1 0.0000 0.0000 0.4798
Ag2 0.5000 0.5000 0.7350
P1 0.5000 0.5000 0.2199
```

Calculated values
Density: 6.39 Mg/m³
Total magnetization: 0.00 μB/f.u.
Offset from the most stable computed form: 68 meV/atom
Crystal system: tetragonal
Formation energy: -1 kJ/mol of atoms
Volume: 70.5 Å³/cell
DOS at the Fermi energy: 1.7 states/eV/cell